Material: K2Mn2IrO6
Method: DFT, PBE with a Hubbard U
State: relaxed

D(E_F), states/eV per atom: 0.158
Total DFT energy (no corrections), eV/atom: -6.445
Crystal system: monoclinic
Volume, Å³/cell: 156.4

abc: 5.3182 5.3182 6.4757
angles: 99.20 99.20 116.37
Sites, in units of the cell vectors:
O 0.9632 0.6228 0.3284
Ir 0.0000 0.0000 0.5000
O 0.0368 0.3772 0.6716
Mn 0.3333 0.6667 0.5000
Mn 0.6667 0.3333 0.5000
K 0.1710 0.8290 0.0000
O 0.3772 0.0368 0.6716
O 0.6228 0.9632 0.3284
K 0.8290 0.1710 0.0000
O 0.7255 0.7255 0.6548
O 0.2745 0.2745 0.3452